<i>
# PBE Cd2Hg2O, optimized geometry
data_Cd2Hg2O
_cell_length_a 6.272
_cell_length_b 6.272
_cell_length_c 5.774
_cell_angle_alpha 90.00
_cell_angle_beta 90.00
_cell_angle_gamma 90.00
_space_group_name_H-M_alt 'P 4/m b m'
_space_group_IT_number 127
_space_group_name_Hall '-P 4 2ab'
loop_
_atom_site_label
_atom_site_type_symbol
_atom_site_fract_x
_atom_site_fract_y
_atom_site_fract_z
Cd1 Cd 0.182 0.318 0.000
Hg1 Hg 0.158 0.658 0.500
O1 O 0.000 0.000 0.500
# crystal system	tetragonal

<ii>
# PBE Cd2Hg2O, optimized geometry
data_Cd2Hg2O
_cell_length_a 3.975
_cell_length_b 3.975
_cell_length_c 14.588
_cell_angle_alpha 90.00
_cell_angle_beta 90.00
_cell_angle_gamma 90.00
_space_group_name_H-M_alt 'I 4/m m m'
_space_group_IT_number 139
_space_group_name_Hall '-I 4 2'
loop_
_atom_site_label
_atom_site_type_symbol
_atom_site_fract_x
_atom_site_fract_y
_atom_site_fract_z
Cd1 Cd 0.000 0.500 0.250
Hg1 Hg 0.000 0.000 0.092
O1 O 0.000 0.000 0.500
# crystal system	tetragonal

<i> takes first place; second place is 29.0 kJ/mol of atoms up.

<i>
# PBE Cd2HgO2, optimized geometry
data_Cd2HgO2
_cell_length_a 4.493
_cell_length_b 3.984
_cell_length_c 6.228
_cell_angle_alpha 90.00
_cell_angle_beta 95.40
_cell_angle_gamma 90.00
_space_group_name_H-M_alt 'P 1 m 1'
_space_group_IT_number 6
loop_
_space_group_symop_operation_xyz
'x,y,z'
'x,-y,z'
loop_
_atom_site_label
_atom_site_type_symbol
_atom_site_fract_x
_atom_site_fract_y
_atom_site_fract_z
Cd1 Cd 0.000 0.000 0.000
Cd2 Cd 0.477 0.500 0.815
Hg1 Hg 0.476 0.000 0.429
O1 O 0.505 0.000 0.022
O2 O 0.981 0.500 0.838
# crystal system	monoclinic

<ii>
# PBE Cd2HgO2, optimized geometry
data_Cd2HgO2
_cell_length_a 4.440
_cell_length_b 4.440
_cell_length_c 13.636
_cell_angle_alpha 90.00
_cell_angle_beta 90.00
_cell_angle_gamma 90.00
_space_group_name_H-M_alt 'I 4/m m m'
_space_group_IT_number 139
_space_group_name_Hall '-I 4 2'
loop_
_atom_site_label
_atom_site_type_symbol
_atom_site_fract_x
_atom_site_fract_y
_atom_site_fract_z
Cd1 Cd 0.000 0.000 0.222
Hg1 Hg 0.000 0.000 0.000
O1 O 0.000 0.500 0.250
# crystal system	tetragonal

<i> takes first place; second place is 1.9 kJ/mol of atoms up.

<i>
# PBE Cd2HgO3, optimized geometry
data_Cd2HgO3
_cell_length_a 6.053
_cell_length_b 3.492
_cell_length_c 9.288
_cell_angle_alpha 90.00
_cell_angle_beta 102.85
_cell_angle_gamma 90.00
_space_group_name_H-M_alt 'C 1 2/m 1'
_space_group_IT_number 12
loop_
_space_group_symop_operation_xyz
'x,y,z'
'-x,-y,-z'
'-x,y,-z'
'x,-y,z'
'x+1/2,y+1/2,z'
'-x+1/2,-y+1/2,-z'
'-x+1/2,y+1/2,-z'
'x+1/2,-y+1/2,z'
loop_
_atom_site_label
_atom_site_type_symbol
_atom_site_fract_x
_atom_site_fract_y
_atom_site_fract_z
Cd1 Cd 0.217 0.000 0.148
Hg1 Hg 0.000 0.000 0.500
O1 O 0.000 0.500 0.000
O2 O 0.072 0.000 0.723
# crystal system	monoclinic

<ii>
# PBE Cd2HgO3, optimized geometry
data_Cd2HgO3
_cell_length_a 3.677
_cell_length_b 11.040
_cell_length_c 5.213
_cell_angle_alpha 90.00
_cell_angle_beta 90.00
_cell_angle_gamma 90.00
_space_group_name_H-M_alt 'I m m 2'
_space_group_IT_number 44
loop_
_space_group_symop_operation_xyz
'x,y,z'
'-x,-y,z'
'-x,y,z'
'x,-y,z'
'x+1/2,y+1/2,z+1/2'
'-x+1/2,-y+1/2,z+1/2'
'-x+1/2,y+1/2,z+1/2'
'x+1/2,-y+1/2,z+1/2'
loop_
_atom_site_label
_atom_site_type_symbol
_atom_site_fract_x
_atom_site_fract_y
_atom_site_fract_z
Cd1 Cd 0.000 0.167 0.000
Hg1 Hg 0.000 0.500 0.994
O1 O 0.000 0.000 0.762
O2 O 0.000 0.329 0.742
# crystal system	orthorhombic

<i> takes first place; second place is 5.8 kJ/mol of atoms up.

<i>
# PBE CdHgO, optimized geometry
data_CdHgO
_cell_length_a 12.652
_cell_length_b 3.515
_cell_length_c 5.948
_cell_angle_alpha 90.00
_cell_angle_beta 116.53
_cell_angle_gamma 90.00
_space_group_name_H-M_alt 'C 1 2/m 1'
_space_group_IT_number 12
loop_
_space_group_symop_operation_xyz
'x,y,z'
'-x,-y,-z'
'-x,y,-z'
'x,-y,z'
'x+1/2,y+1/2,z'
'-x+1/2,-y+1/2,-z'
'-x+1/2,y+1/2,-z'
'x+1/2,-y+1/2,z'
loop_
_atom_site_label
_atom_site_type_symbol
_atom_site_fract_x
_atom_site_fract_y
_atom_site_fract_z
Cd1 Cd 0.145 0.000 0.025
Hg1 Hg 0.111 0.500 0.384
O1 O 0.145 0.500 0.795
# crystal system	monoclinic

<ii>
# PBE CdHgO, optimized geometry
data_CdHgO
_cell_length_a 3.770
_cell_length_b 3.803
_cell_length_c 10.844
_cell_angle_alpha 87.45
_cell_angle_beta 84.83
_cell_angle_gamma 60.58
_space_group_name_H-M_alt 'P -1'
_space_group_IT_number 2
loop_
_space_group_symop_operation_xyz
'x,y,z'
'-x,-y,-z'
loop_
_atom_site_label
_atom_site_type_symbol
_atom_site_fract_x
_atom_site_fract_y
_atom_site_fract_z
Cd1 Cd 0.196 0.169 0.384
Hg1 Hg 0.352 0.839 0.882
O1 O 0.135 0.171 0.611
# crystal system	triclinic

<iii>
# PBE CdHgO, optimized geometry
data_CdHgO
_cell_length_a 4.153
_cell_length_b 4.492
_cell_length_c 8.051
_cell_angle_alpha 90.00
_cell_angle_beta 90.93
_cell_angle_gamma 90.00
_space_group_name_H-M_alt 'P 1 21/m 1'
_space_group_IT_number 11
loop_
_space_group_symop_operation_xyz
'x,y,z'
'-x,-y,-z'
'-x,y+1/2,-z'
'x,-y+1/2,z'
loop_
_atom_site_label
_atom_site_type_symbol
_atom_site_fract_x
_atom_site_fract_y
_atom_site_fract_z
Cd1 Cd 0.248 0.250 0.447
Hg1 Hg 0.252 0.250 0.069
O1 O 0.248 0.750 0.438
# crystal system	monoclinic

<ii> takes first place; second place is 7.5 kJ/mol of atoms up.

<i>
# PBE CdHgP2O, optimized geometry
data_CdHgP2O
_cell_length_a 5.136
_cell_length_b 5.136
_cell_length_c 4.080
_cell_angle_alpha 90.00
_cell_angle_beta 90.00
_cell_angle_gamma 90.00
_space_group_name_H-M_alt 'P 4/m m m'
_space_group_IT_number 123
_space_group_name_Hall '-P 4 2'
loop_
_atom_site_label
_atom_site_type_symbol
_atom_site_fract_x
_atom_site_fract_y
_atom_site_fract_z
Cd1 Cd 0.000 0.000 0.000
Hg1 Hg 0.500 0.500 0.500
P1 P 0.000 0.500 0.500
O1 O 0.500 0.500 0.000
# crystal system	tetragonal

<ii>
# PBE CdHgP2O, optimized geometry
data_CdHgP2O
_cell_length_a 5.134
_cell_length_b 5.134
_cell_length_c 4.061
_cell_angle_alpha 90.00
_cell_angle_beta 90.00
_cell_angle_gamma 90.00
_space_group_name_H-M_alt 'P 4/m m m'
_space_group_IT_number 123
_space_group_name_Hall '-P 4 2'
loop_
_atom_site_label
_atom_site_type_symbol
_atom_site_fract_x
_atom_site_fract_y
_atom_site_fract_z
Cd1 Cd 0.000 0.000 0.000
Hg1 Hg 0.500 0.500 0.500
P1 P 0.000 0.500 0.000
O1 O 0.000 0.000 0.500
# crystal system	tetragonal

<ii> takes first place; second place is 6.8 kJ/mol of atoms up.

<i>
# PBE CdHg2SeO6, optimized geometry
data_CdHg2SeO6
_cell_length_a 7.008
_cell_length_b 7.333
_cell_length_c 8.047
_cell_angle_alpha 110.95
_cell_angle_beta 96.02
_cell_angle_gamma 114.95
_space_group_name_H-M_alt 'P -1'
_space_group_IT_number 2
loop_
_space_group_symop_operation_xyz
'x,y,z'
'-x,-y,-z'
loop_
_atom_site_label
_atom_site_type_symbol
_atom_site_fract_x
_atom_site_fract_y
_atom_site_fract_z
Cd1 Cd 0.164 0.281 0.217
Hg1 Hg 0.182 0.776 0.197
Hg2 Hg 0.327 0.233 0.806
Se1 Se 0.309 0.678 0.693
O1 O 0.020 0.094 0.849
O2 O 0.125 0.647 0.814
O3 O 0.247 0.419 0.539
O4 O 0.314 0.845 0.597
O5 O 0.354 0.607 0.198
O6 O 0.442 0.204 0.151
# crystal system	triclinic

<ii>
# PBE CdHg2SeO6, optimized geometry
data_CdHg2SeO6
_cell_length_a 7.016
_cell_length_b 7.331
_cell_length_c 7.716
_cell_angle_alpha 74.65
_cell_angle_beta 68.75
_cell_angle_gamma 64.43
_space_group_name_H-M_alt 'P -1'
_space_group_IT_number 2
loop_
_space_group_symop_operation_xyz
'x,y,z'
'-x,-y,-z'
loop_
_atom_site_label
_atom_site_type_symbol
_atom_site_fract_x
_atom_site_fract_y
_atom_site_fract_z
Cd1 Cd 0.165 0.363 0.287
Hg1 Hg 0.158 0.857 0.295
Hg2 Hg 0.345 0.144 0.707
Se1 Se 0.296 0.635 0.817
O1 O 0.052 0.304 0.634
O2 O 0.135 0.710 0.674
O3 O 0.224 0.826 0.934
O4 O 0.272 0.422 0.958
O5 O 0.349 0.022 0.256
O6 O 0.443 0.424 0.324
# crystal system	triclinic

<ii> takes first place; second place is 0.7 kJ/mol of atoms up.

<i>
# PBE CdHgOs2, optimized geometry
data_CdHgOs2
_cell_length_a 2.890
_cell_length_b 4.829
_cell_length_c 4.918
_cell_angle_alpha 90.00
_cell_angle_beta 90.00
_cell_angle_gamma 90.00
_space_group_name_H-M_alt 'P m m m'
_space_group_IT_number 47
loop_
_space_group_symop_operation_xyz
'x,y,z'
'-x,-y,-z'
'-x,-y,z'
'x,y,-z'
'x,-y,-z'
'-x,y,z'
'-x,y,-z'
'x,-y,z'
loop_
_atom_site_label
_atom_site_type_symbol
_atom_site_fract_x
_atom_site_fract_y
_atom_site_fract_z
Cd1 Cd 0.000 0.000 0.000
Hg1 Hg 0.500 0.500 0.000
Os1 Os 0.000 0.500 0.500
Os2 Os 0.500 0.000 0.500
# crystal system	orthorhombic

<ii>
# PBE CdHgOs2, optimized geometry
data_CdHgOs2
_cell_length_a 9.637
_cell_length_b 2.881
_cell_length_c 5.040
_cell_angle_alpha 90.00
_cell_angle_beta 100.45
_cell_angle_gamma 90.00
_space_group_name_H-M_alt 'C 1 2/m 1'
_space_group_IT_number 12
loop_
_space_group_symop_operation_xyz
'x,y,z'
'-x,-y,-z'
'-x,y,-z'
'x,-y,z'
'x+1/2,y+1/2,z'
'-x+1/2,-y+1/2,-z'
'-x+1/2,y+1/2,-z'
'x+1/2,-y+1/2,z'
loop_
_atom_site_label
_atom_site_type_symbol
_atom_site_fract_x
_atom_site_fract_y
_atom_site_fract_z
Cd1 Cd 0.000 0.000 0.000
Hg1 Hg 0.000 0.500 0.500
Os1 Os 0.249 0.500 0.223
# crystal system	monoclinic

<iii>
# PBE CdHgOs2, optimized geometry
data_CdHgOs2
_cell_length_a 2.811
_cell_length_b 4.471
_cell_length_c 5.742
_cell_angle_alpha 90.00
_cell_angle_beta 90.00
_cell_angle_gamma 90.00
_space_group_name_H-M_alt 'P m m m'
_space_group_IT_number 47
loop_
_space_group_symop_operation_xyz
'x,y,z'
'-x,-y,-z'
'-x,-y,z'
'x,y,-z'
'x,-y,-z'
'-x,y,z'
'-x,y,-z'
'x,-y,z'
loop_
_atom_site_label
_atom_site_type_symbol
_atom_site_fract_x
_atom_site_fract_y
_atom_site_fract_z
Cd1 Cd 0.000 0.000 0.000
Hg1 Hg 0.000 0.000 0.500
Os1 Os 0.500 0.500 0.208
# crystal system	orthorhombic

<iv>
# PBE CdHgOs2, optimized geometry
data_CdHgOs2
_cell_length_a 2.884
_cell_length_b 2.884
_cell_length_c 8.491
_cell_angle_alpha 90.00
_cell_angle_beta 90.08
_cell_angle_gamma 90.00
_space_group_name_H-M_alt 'P 1 m 1'
_space_group_IT_number 6
loop_
_space_group_symop_operation_xyz
'x,y,z'
'x,-y,z'
loop_
_atom_site_label
_atom_site_type_symbol
_atom_site_fract_x
_atom_site_fract_y
_atom_site_fract_z
Cd1 Cd 0.000 0.000 0.000
Hg1 Hg 0.500 0.500 0.300
Os1 Os 0.000 0.000 0.560
Os2 Os 0.501 0.500 0.748
# crystal system	monoclinic

<iv> takes first place; second place is 45.7 kJ/mol of atoms up.

<i>
# PBE CdHgOs2, optimized geometry
data_CdHgOs2
_cell_length_a 5.445
_cell_length_b 8.853
_cell_length_c 2.873
_cell_angle_alpha 90.00
_cell_angle_beta 90.00
_cell_angle_gamma 90.00
_space_group_name_H-M_alt 'C m m m'
_space_group_IT_number 65
_space_group_name_Hall '-C 2 2'
loop_
_atom_site_label
_atom_site_type_symbol
_atom_site_fract_x
_atom_site_fract_y
_atom_site_fract_z
Cd1 Cd 0.000 0.000 0.000
Hg1 Hg 0.000 0.500 0.000
Os1 Os 0.250 0.250 0.500
# crystal system	orthorhombic

<ii>
# PBE CdHgOs2, optimized geometry
data_CdHgOs2
_cell_length_a 3.263
_cell_length_b 3.263
_cell_length_c 6.455
_cell_angle_alpha 90.00
_cell_angle_beta 90.00
_cell_angle_gamma 90.00
_space_group_name_H-M_alt 'P 4/m m m'
_space_group_IT_number 123
_space_group_name_Hall '-P 4 2'
loop_
_atom_site_label
_atom_site_type_symbol
_atom_site_fract_x
_atom_site_fract_y
_atom_site_fract_z
Cd1 Cd 0.000 0.000 0.000
Hg1 Hg 0.000 0.000 0.500
Os1 Os 0.500 0.500 0.250
# crystal system	tetragonal

<iii>
# PBE CdHgOs2, optimized geometry
data_CdHgOs2
_cell_length_a 3.935
_cell_length_b 3.935
_cell_length_c 8.936
_cell_angle_alpha 90.00
_cell_angle_beta 90.00
_cell_angle_gamma 90.00
_space_group_name_H-M_alt 'I 4/m m m'
_space_group_IT_number 139
_space_group_name_Hall '-I 4 2'
loop_
_atom_site_label
_atom_site_type_symbol
_atom_site_fract_x
_atom_site_fract_y
_atom_site_fract_z
Cd1 Cd 0.000 0.000 0.000
Hg1 Hg 0.000 0.000 0.500
Os1 Os 0.000 0.500 0.250
# crystal system	tetragonal

<iii> takes first place; second place is 0.5 kJ/mol of atoms up.

<i>
# PBE CdHgOs2, optimized geometry
data_CdHgOs2
_cell_length_a 2.812
_cell_length_b 4.809
_cell_length_c 11.078
_cell_angle_alpha 90.00
_cell_angle_beta 90.00
_cell_angle_gamma 90.00
_space_group_name_H-M_alt 'I m m 2'
_space_group_IT_number 44
loop_
_space_group_symop_operation_xyz
'x,y,z'
'-x,-y,z'
'-x,y,z'
'x,-y,z'
'x+1/2,y+1/2,z+1/2'
'-x+1/2,-y+1/2,z+1/2'
'-x+1/2,y+1/2,z+1/2'
'x+1/2,-y+1/2,z+1/2'
loop_
_atom_site_label
_atom_site_type_symbol
_atom_site_fract_x
_atom_site_fract_y
_atom_site_fract_z
Cd1 Cd 0.000 0.000 0.000
Hg1 Hg 0.000 0.500 0.808
Os1 Os 0.000 0.000 0.561
Os2 Os 0.000 0.500 0.246
# crystal system	orthorhombic

<ii>
# PBE CdHgOs2, optimized geometry
data_CdHgOs2
_cell_length_a 8.006
_cell_length_b 2.773
_cell_length_c 8.203
_cell_angle_alpha 90.00
_cell_angle_beta 109.35
_cell_angle_gamma 90.00
_space_group_name_H-M_alt 'C 1 m 1'
_space_group_IT_number 8
loop_
_space_group_symop_operation_xyz
'x,y,z'
'x,-y,z'
'x+1/2,y+1/2,z'
'x+1/2,-y+1/2,z'
loop_
_atom_site_label
_atom_site_type_symbol
_atom_site_fract_x
_atom_site_fract_y
_atom_site_fract_z
Cd1 Cd 0.000 0.000 0.000
Hg1 Hg 0.256 0.000 0.696
Os1 Os 0.049 0.500 0.393
Os2 Os 0.268 0.500 0.263
# crystal system	monoclinic

<iii>
# PBE CdHgOs2, optimized geometry
data_CdHgOs2
_cell_length_a 2.872
_cell_length_b 4.865
_cell_length_c 9.856
_cell_angle_alpha 90.00
_cell_angle_beta 90.00
_cell_angle_gamma 90.00
_space_group_name_H-M_alt 'C m m m'
_space_group_IT_number 65
_space_group_name_Hall '-C 2 2'
loop_
_atom_site_label
_atom_site_type_symbol
_atom_site_fract_x
_atom_site_fract_y
_atom_site_fract_z
Cd1 Cd 0.000 0.000 0.000
Hg1 Hg 0.000 0.000 0.500
Os1 Os 0.000 0.500 0.247
# crystal system	orthorhombic

<ii> takes first place; second place is 14.2 kJ/mol of atoms up.

<i>
# PBE CdHgOs, optimized geometry
data_CdHgOs
_cell_length_a 2.794
_cell_length_b 4.320
_cell_length_c 9.192
_cell_angle_alpha 90.00
_cell_angle_beta 90.00
_cell_angle_gamma 90.00
_space_group_name_H-M_alt 'I m m 2'
_space_group_IT_number 44
loop_
_space_group_symop_operation_xyz
'x,y,z'
'-x,-y,z'
'-x,y,z'
'x,-y,z'
'x+1/2,y+1/2,z+1/2'
'-x+1/2,-y+1/2,z+1/2'
'-x+1/2,y+1/2,z+1/2'
'x+1/2,-y+1/2,z+1/2'
loop_
_atom_site_label
_atom_site_type_symbol
_atom_site_fract_x
_atom_site_fract_y
_atom_site_fract_z
Cd1 Cd 0.000 0.000 0.000
Hg1 Hg 0.000 0.000 0.679
Os1 Os 0.000 0.000 0.343
# crystal system	orthorhombic

<ii>
# PBE CdHgOs, optimized geometry
data_CdHgOs
_cell_length_a 2.9478
_cell_length_b 2.9478
_cell_length_c 7.4133
_cell_angle_alpha 90.00
_cell_angle_beta 90.00
_cell_angle_gamma 120.00
_space_group_name_H-M_alt 'P 3 m 1'
_space_group_IT_number 156
loop_
_space_group_symop_operation_xyz
'x,y,z'
'-y,x-y,z'
'-x+y,-x,z'
'-y,-x,z'
'-x+y,y,z'
'x,x-y,z'
loop_
_atom_site_label
_atom_site_type_symbol
_atom_site_fract_x
_atom_site_fract_y
_atom_site_fract_z
Cd1 Cd 0.0000 0.0000 0.0000
Hg1 Hg 0.6667 0.3333 0.3644
Os1 Os 0.3333 0.6667 0.6877
# crystal system	trigonal

<iii>
# PBE CdHgOs, optimized geometry
data_CdHgOs
_cell_length_a 6.445
_cell_length_b 6.445
_cell_length_c 6.445
_cell_angle_alpha 90.00
_cell_angle_beta 90.00
_cell_angle_gamma 90.00
_space_group_name_H-M_alt 'F -4 3 m'
_space_group_IT_number 216
_space_group_name_Hall 'F -4 2 3'
loop_
_atom_site_label
_atom_site_type_symbol
_atom_site_fract_x
_atom_site_fract_y
_atom_site_fract_z
Cd1 Cd 0.000 0.000 0.000
Hg1 Hg 0.000 0.000 0.500
Os1 Os 0.250 0.250 0.750
# crystal system	cubic

<ii> takes first place; second place is 9.2 kJ/mol of atoms up.